{"formula": "BAuSCl2", "functional": "PBE", "state": "relaxed", "cell": [[4.0228, 0.0000, 0.0000], [0.0000, 4.0228, 0.0000], [0.0000, 0.0000, 5.4094]], "species": ["B", "S", "Cl", "Cl", "Au"], "frac_coords": [[0.0000, 0.0000, 0.0000], [0.0000, 0.0000, 0.5000], [0.0000, 0.5000, 0.0000], [0.5000, 0.0000, 0.0000], [0.5000, 0.5000, 0.5000]], "relative_energy_mev_per_atom": 0}